[1]
The following is a DFT calculation (PBE-GGA) of Ti6Ga5W after structural relaxation.

Values from the calculation:
Crystal system = monoclinic
Calculated density = 7.18 g cm⁻³
Symmetry = No. 12
ΔE to the lowest computed polymorph = 0 meV/atom
Total energy = -6.69 eV per atom

abc: 7.495 7.495 4.729
angles: 95.00 95.00 45.82
Sites, in units of the cell vectors:
Ti  0.085  0.585  0.348
Ti  0.247  0.753  0.000
Ti  0.415  0.915  0.652
Ti  0.585  0.085  0.348
Ti  0.753  0.247  0.000
Ti  0.915  0.415  0.652
Ga  0.000  0.000  0.500
Ga  0.170  0.170  0.155
Ga  0.336  0.336  0.838
Ga  0.664  0.664  0.162
Ga  0.830  0.830  0.845
W  0.500  0.500  0.500

[2]
The following is a DFT calculation (PBE-GGA) of Ti6Ga5W after structural relaxation.

Values from the calculation:
Crystal system = monoclinic
Calculated density = 6.94 g cm⁻³
Symmetry = No. 12
ΔE to the lowest computed polymorph = 162 meV/atom
Total energy = -6.52 eV per atom

abc: 5.245 5.245 8.997
angles: 96.64 96.64 125.12
Sites, in units of the cell vectors:
Ti  0.006  0.006  0.262
Ti  0.321  0.650  0.749
Ti  0.350  0.679  0.251
Ti  0.650  0.321  0.749
Ti  0.679  0.350  0.251
Ti  0.994  0.994  0.738
Ga  0.164  0.836  0.000
Ga  0.175  0.825  0.500
Ga  0.500  0.500  0.000
Ga  0.825  0.175  0.500
Ga  0.836  0.164  0.000
W  0.500  0.500  0.500

[3]
The following is a DFT calculation (PBE-GGA) of Ti4Ga2W after structural relaxation.

Values from the calculation:
Crystal system = trigonal
Calculated density = 6.70 g cm⁻³
Symmetry = No. 166
Total energy = -7.18 eV per atom

abc: 7.690 7.690 7.690
angles: 34.13 34.13 34.13
Sites, in units of the cell vectors:
Ti  0.133  0.133  0.133
Ti  0.259  0.259  0.259
Ti  0.741  0.741  0.741
Ti  0.867  0.867  0.867
Ga  0.379  0.379  0.379
Ga  0.621  0.621  0.621
W  0.500  0.500  0.500

[4]
The following is a DFT calculation (PBE-GGA) of Y2TiGa after structural relaxation.

Values from the calculation:
Crystal system = tetragonal
Calculated density = 4.87 g cm⁻³
Symmetry = No. 122
Total energy = -5.74 eV per atom

abc: 6.506 6.506 6.506
angles: 102.64 102.64 124.22
Sites, in units of the cell vectors:
Y  0.102  0.625  0.977
Y  0.375  0.352  0.477
Y  0.648  0.125  0.023
Y  0.875  0.898  0.523
Ti  0.250  0.750  0.500
Ti  0.500  0.500  0.000
Ga  0.000  0.000  0.000
Ga  0.750  0.250  0.500

[5]
The following is a DFT calculation (PBE-GGA) of Y2Ti2Ga after structural relaxation.

Values from the calculation:
Crystal system = tetragonal
Calculated density = 4.76 g cm⁻³
Symmetry = No. 139
ΔE to the lowest computed polymorph = 618 meV/atom
Total energy = -5.77 eV per atom

abc: 7.325 7.325 7.325
angles: 146.43 146.43 48.21
Sites, in units of the cell vectors:
Y  0.250  0.750  0.500
Y  0.750  0.250  0.500
Ti  0.075  0.075  0.000
Ti  0.925  0.925  0.000
Ga  0.500  0.500  0.000

[6]
The following is a DFT calculation (PBE-GGA) of YTi4Ga4 after structural relaxation.

Values from the calculation:
Crystal system = tetragonal
Calculated density = 5.60 g cm⁻³
Symmetry = No. 86
Total energy = -5.80 eV per atom

abc: 8.093 8.093 5.064
angles: 90.00 90.00 90.00
Sites, in units of the cell vectors:
Y  0.250  0.250  0.250
Y  0.750  0.750  0.750
Ti  0.112  0.820  0.642
Ti  0.180  0.612  0.142
Ti  0.320  0.888  0.142
Ti  0.388  0.680  0.642
Ti  0.612  0.320  0.358
Ti  0.680  0.112  0.858
Ti  0.820  0.388  0.858
Ti  0.888  0.180  0.358
Ga  0.024  0.123  0.832
Ga  0.123  0.476  0.668
Ga  0.377  0.024  0.668
Ga  0.476  0.377  0.832
Ga  0.524  0.623  0.168
Ga  0.623  0.976  0.332
Ga  0.877  0.524  0.332
Ga  0.976  0.877  0.168

[7]
The following is a DFT calculation (PBE-GGA) of YTi2Ga2 after structural relaxation.

Values from the calculation:
Crystal system = tetragonal
Calculated density = 5.23 g cm⁻³
Symmetry = No. 139
ΔE to the lowest computed polymorph = 353 meV/atom
Total energy = -5.73 eV per atom

abc: 6.171 6.171 6.171
angles: 138.31 138.31 60.43
Sites, in units of the cell vectors:
Y  0.000  0.000  0.000
Ti  0.381  0.381  0.000
Ti  0.619  0.619  0.000
Ga  0.250  0.750  0.500
Ga  0.750  0.250  0.500

[8]
The following is a DFT calculation (PBE-GGA) of YTiGa after structural relaxation.

Values from the calculation:
Crystal system = tetragonal
Calculated density = 5.25 g cm⁻³
Symmetry = No. 129
Total energy = -6.22 eV per atom

abc: 4.100 4.100 7.770
angles: 90.00 90.00 90.00
Sites, in units of the cell vectors:
Y  0.250  0.250  0.158
Y  0.750  0.750  0.842
Ti  0.250  0.750  0.500
Ti  0.750  0.250  0.500
Ga  0.250  0.250  0.741
Ga  0.750  0.750  0.259

Energy of formation? In order: -4.8; -2.8; 0.3; 0.9; 2.9; -2.0; -0.4; -1.3 eV/f.u..
V? In order: 189.65; 196.00; 127.64; 100.63; 119.66; 165.84; 102.88; 65.31 Å³/f.u..